Density functional theory data (PBE-GGA) for a relaxed ZrSnAsBr2 crystal.

Structure (extended XYZ):
```
5
Lattice="5.247 0.000 0.000 0.000 5.247 0.000 0.000 0.000 5.404" Properties=species:S:1:pos:R:3 pbc="T T T"
Zr 0.000 0.000 0.000
Sn 2.624 2.624 2.702
As 0.000 0.000 2.702
Br 0.000 2.624 0.000
Br 2.624 0.000 0.000
```

Magnetic moment = 0.000 μB/atom
Crystal system = tetragonal

Density functional theory data (PBE-GGA) for a relaxed ZrSnAs2Br crystal.

Structure (extended XYZ):
```
5
Lattice="5.256 0.000 0.000 0.000 5.256 0.000 0.000 0.000 5.258" Properties=species:S:1:pos:R:3 pbc="T T T"
Zr 0.000 0.000 0.000
Sn 2.628 2.628 2.629
As 0.000 2.628 0.000
As 2.628 0.000 0.000
Br 0.000 0.000 2.629
```

Magnetic moment = 0.000 μB/atom
Crystal system = tetragonal

Density functional theory data (PBE-GGA) for a relaxed SrAsBr2 crystal.

Structure (extended XYZ):
```
4
Lattice="2.382 1.375 7.237 -2.382 1.375 7.237 0.000 -2.750 7.237" Properties=species:S:1:pos:R:3 pbc="T T T"
Sr 0.000 0.000 0.000
As 0.000 0.000 5.208
Br 0.000 0.000 12.052
Br 0.000 0.000 15.928
```

Magnetic moment = 0.243 μB/atom
Crystal system = trigonal

Density functional theory data (PBE-GGA) for a relaxed SrAsBr2 crystal.

Structure (extended XYZ):
```
4
Lattice="2.334 1.347 9.429 -2.334 1.347 9.429 0.000 -2.695 9.429" Properties=species:S:1:pos:R:3 pbc="T T T"
Sr 0.000 0.000 0.000
As 0.000 0.000 14.143
Br 0.000 0.000 7.900
Br 0.000 0.000 20.386
```

Magnetic moment = 0.750 μB/atom
Crystal system = trigonal

Density functional theory data (PBE-GGA) for a relaxed SrAsBr2 crystal.

Structure (extended XYZ):
```
4
Lattice="3.672 0.000 0.000 0.000 3.672 0.000 0.000 0.000 10.603" Properties=species:S:1:pos:R:3 pbc="T T T"
Sr 0.000 0.000 0.000
As 0.000 0.000 5.302
Br 1.836 1.836 1.779
Br 1.836 1.836 8.824
```

Magnetic moment = 0.312 μB/atom
Crystal system = tetragonal

Density functional theory data (PBE-GGA) for a relaxed SrAsBr2 crystal.

Structure (extended XYZ):
```
4
Lattice="-2.000 2.131 7.681 2.000 -2.131 7.681 2.000 2.131 -7.681" Properties=species:S:1:pos:R:3 pbc="T T T"
Sr 0.000 0.000 0.000
As 0.000 2.131 5.125
Br 2.000 0.000 5.255
Br 0.000 0.000 8.871
```

Magnetic moment = 0.000 μB/atom
Crystal system = orthorhombic

Number 1: excess energy over the best structure of this formula in the dataset 0.0 meV per atom. Number 2: excess energy over the best structure of this formula in the dataset 0.0 meV per atom. Number 3: excess energy over the best structure of this formula in the dataset 220.3 meV per atom. Number 4: excess energy over the best structure of this formula in the dataset 158.6 meV per atom. Number 5: excess energy over the best structure of this formula in the dataset 203.5 meV per atom. Number 6: excess energy over the best structure of this formula in the dataset 58.0 meV per atom.